A relaxed Tb8Te3PPt3 crystal, computed with PBE.

```
data_Tb8Te3PPt3
_chemical_formula_sum 'Tb16 Te6 P2 Pt6'
_symmetry_space_group_name_H-M 'C 1 2/m 1'
_symmetry_Int_Tables_number 12
_cell_length_a 14.374
_cell_length_b 8.308
_cell_length_c 8.643
_cell_angle_alpha 90.00
_cell_angle_beta 123.61
_cell_angle_gamma 90.00
loop_
_symmetry_equiv_pos_as_xyz
'x,y,z'
'-x,-y,-z'
'-x,y,-z'
'x,-y,z'
'x+1/2,y+1/2,z'
'-x+1/2,-y+1/2,-z'
'-x+1/2,y+1/2,-z'
'x+1/2,-y+1/2,z'
loop_
_atom_site_label
_atom_site_type_symbol
_atom_site_fract_x
_atom_site_fract_y
_atom_site_fract_z
Tb1 Tb 0.013 0.250 0.288
Tb2 Tb 0.237 0.000 0.711
Tb3 Tb 0.237 0.500 0.711
Te1 Te 0.000 0.000 0.000
Te2 Te 0.250 0.250 0.000
P1 P 0.000 0.000 0.500
Pt1 Pt 0.000 0.500 0.500
Pt2 Pt 0.250 0.250 0.500
```

Output
The uncorrected formation energy is -1.1883 eV/atom. The value obtained for the theoretical density is 8772 kg/m³. For the density of states at the Fermi level, the calculation gives 0.62 states/eV per atom. The calculation puts the total energy at -5.855 eV per atom. Its size of the total moment is 0.000 μB/atom.


A relaxed LiSm2Co crystal, computed with PBE.

```
data_LiSm2Co
_chemical_formula_sum 'Li3 Sm6 Co3'
_symmetry_space_group_name_H-M 'R -3 m'
_symmetry_Int_Tables_number 166
_symmetry_space_group_name_Hall '-R 3 2"'
_cell_length_a 3.8102
_cell_length_b 3.8102
_cell_length_c 29.8128
_cell_angle_alpha 90.00
_cell_angle_beta 90.00
_cell_angle_gamma 120.00
loop_
_atom_site_label
_atom_site_type_symbol
_atom_site_fract_x
_atom_site_fract_y
_atom_site_fract_z
Li1 Li 0.0000 0.0000 0.0000
Sm1 Sm 0.0000 0.0000 0.1155
Co1 Co 0.0000 0.0000 0.5000
```

Output
As for the energy above the most stable polymorph in this dataset: 127 meV per atom. The value obtained for the theoretical density is 4872 kg/m³. For the density of states at the Fermi level, the calculation gives 0.86 states/eV per atom. The calculation puts the total energy at -4.487 eV per atom. Its size of the total moment is 0.000 μB/atom. The value obtained for the formation energy is 128 meV per atom.


A relaxed Er2ZnGa2Ir5 crystal, computed with PBE.

```
data_Er2ZnGa2Ir5
_chemical_formula_sum 'Er4 Zn2 Ga4 Ir10'
_symmetry_space_group_name_H-M 'P 4/m b m'
_symmetry_Int_Tables_number 127
_symmetry_space_group_name_Hall '-P 4 2ab'
_cell_length_a 9.658
_cell_length_b 9.658
_cell_length_c 3.593
_cell_angle_alpha 90.00
_cell_angle_beta 90.00
_cell_angle_gamma 90.00
loop_
_atom_site_label
_atom_site_type_symbol
_atom_site_fract_x
_atom_site_fract_y
_atom_site_fract_z
Er1 Er 0.173 0.327 0.000
Zn1 Zn 0.000 0.000 0.000
Ga1 Ga 0.127 0.627 0.000
Ir1 Ir 0.000 0.500 0.500
Ir2 Ir 0.064 0.798 0.500
```

Output
The value obtained for the theoretical density is 14870 kg/m³. For the density of states at the Fermi level, the calculation gives 0.71 states/eV per atom. The calculation puts the total energy at -6.646 eV per atom. Its size of the total moment is 0.000 μB/atom. The value obtained for the formation energy is -570 meV per atom.